A relaxed structure of TlB2H8, computed with GGA-PBE.

Calculated values
Offset from the most stable computed form: 0.000 eV/atom

Lattice parameters (Å, degrees): 8.553 5.681 4.919 90.00 108.11 90.00
Space group C2/m (No. 12)
Asymmetric unit:
Tl 0.000 0.000 0.000
B 0.214 0.000 0.691
H 0.139 0.500 0.176
H 0.150 0.188 0.722
H 0.184 0.000 0.423